11
Lattice="3.9092 -5.7432 0.0000 3.9092 5.7432 0.0000 -1.5065 0.0000 4.9576" Properties=species:S:1:pos:R:3 comment="Sc8Co2Tc, optimized geometry, DFT GGA-PBE" delta_e_f_ev_per_fu=-1.5 dos_at_fermi_per_ev_fu=9.96 crystal_system=monoclinic polymorph_energy_ev_per_atom=0.067 magmom_total_mub_per_cell=0.00 final_energy_ev_per_cell=-76.8 sg="Cm (8)" pbc="T T T"
Sc 0.0000 0.0000 0.0000
Sc 0.4037 1.4762 2.9265
Sc 2.5257 2.5817 0.8986
Sc 0.4037 -1.4762 2.9265
Sc 3.1785 1.4803 3.8025
Sc 2.5257 -2.5817 0.8986
Sc 3.1785 -1.4803 3.8025
Sc 5.0983 0.0000 1.8160
Co 1.8004 3.6237 3.3996
Co 1.8004 -3.6237 3.3996
Tc 2.4582 0.0000 1.1670